1.
This record from Alexandria via LeMat-Bulk describes a relaxed Pr3Ho2ThSe6 crystal. The functional is PBE.

a = 4.1544 Å, b = 8.4504 Å, c = 9.3512 Å
α = 102.69°, β = 102.83°, γ = 90.00°
Last column: nearest neighbours and their distance in Å.
Sites, in units of the cell vectors:
Th (0.5000, 0.0000, 0.0000)  6 Se 2.96-3.00
Se (0.9933, 0.7472, 0.9867)  1 Ho 2.83, 2 Th 2.96, 3 Pr 2.97-2.98
Se (0.0067, 0.2528, 0.0133)  1 Ho 2.83, 2 Th 2.96, 3 Pr 2.97-2.98
Ho (0.1658, 0.3314, 0.3316)  6 Se 2.83-2.90
Se (0.3283, 0.4264, 0.6567)  3 Ho 2.89-2.90, 3 Pr 3.05-3.06
Se (0.6688, 0.0984, 0.3377)  2 Ho 2.87, 1 Th 3.00, 3 Pr 3.02-3.03
Pr (0.1613, 0.8339, 0.3226)  6 Se 2.98-3.06
Se (0.6717, 0.5736, 0.3433)  3 Ho 2.89-2.90, 3 Pr 3.05-3.06
Pr (0.5000, 0.5000, 0.0000)  6 Se 2.97-3.05
Pr (0.8387, 0.1661, 0.6774)  6 Se 2.98-3.06
Ho (0.8342, 0.6686, 0.6684)  6 Se 2.83-2.90
Se (0.3312, 0.9016, 0.6623)  2 Ho 2.87, 1 Th 3.00, 3 Pr 3.02-3.03

Results
- Total magnetization: 0.00 μB/f.u.
- Density: 7.765 Mg/m³

2.
This record from Alexandria via LeMat-Bulk describes a relaxed Pr4Ho3ThSe8 crystal. The functional is PBE.

a = 8.3169 Å, b = 8.4174 Å, c = 8.3201 Å
α = 119.65°, β = 119.99°, γ = 90.00°
Last column: nearest neighbours and their distance in Å.
Sites, in units of the cell vectors:
Se (0.2566, 0.2697, 0.5132)  3 Ho 2.88, 3 Pr 3.04
Se (0.2618, 0.2648, 0.0133)  2 Ho 2.88, 1 Th 2.94, 3 Pr 2.98-3.04
Se (0.2485, 0.7352, 0.4970)  2 Ho 2.88, 1 Th 2.94, 3 Pr 2.98-3.04
Se (0.7515, 0.2648, 0.5030)  2 Ho 2.88, 1 Th 2.94, 3 Pr 2.98-3.04
Se (0.7515, 0.2648, 0.0133)  2 Ho 2.88, 1 Th 2.94, 3 Pr 2.98-3.04
Pr (0.5000, 0.0000, 0.0000)  6 Se 2.98
Ho (0.5000, 0.5000, 0.0000)  6 Se 2.88
Se (0.7434, 0.7303, 0.4868)  3 Ho 2.88, 3 Pr 3.04
Se (0.7382, 0.7352, 0.9867)  2 Ho 2.88, 1 Th 2.94, 3 Pr 2.98-3.04
Pr (0.5000, 0.0000, 0.5000)  6 Se 3.04
Se (0.2485, 0.7352, 0.9867)  2 Ho 2.88, 1 Th 2.94, 3 Pr 2.98-3.04
Pr (0.0000, 0.0000, 0.0000)  6 Se 3.04
Pr (0.0000, 0.0000, 0.5000)  6 Se 3.04
Ho (0.0000, 0.5000, 0.5000)  6 Se 2.88
Ho (0.5000, 0.5000, 0.5000)  6 Se 2.88
Th (0.0000, 0.5000, 0.0000)  6 Se 2.94

Results
- Total magnetization: 0.00 μB/f.u.
- Density: 7.708 Mg/m³

3.
This record from Alexandria via LeMat-Bulk describes a relaxed Pr3HoTh3Se8 crystal. The functional is PBE.

a = 8.3961 Å, b = 8.3969 Å, c = 8.4422 Å
α = 119.83°, β = 90.00°, γ = 120.00°
Last column: nearest neighbours and their distance in Å.
Sites, in units of the cell vectors:
Se (0.2465, 0.9968, 0.7439)  1 Ho 2.94, 2 Th 2.96, 2 Pr 2.99-3.00
Se (0.7503, 0.9968, 0.7439)  1 Ho 2.94, 2 Th 2.96, 2 Pr 2.99-3.00
Se (0.2470, 0.4940, 0.7435)  1 Ho 2.94, 2 Th 2.96, 2 Pr 3.00
Th (0.5000, 0.5000, 0.5000)  6 Se 2.96-2.97
Se (0.2508, 0.5016, 0.2524)  3 Th 2.97, 3 Pr 2.99
Se (0.7535, 0.0032, 0.2561)  1 Ho 2.94, 2 Th 2.96, 2 Pr 2.99-3.00
Pr (0.5000, 0.5000, 0.0000)  6 Se 2.99-3.00
Ho (0.0000, 0.0000, 0.5000)  6 Se 2.94
Pr (0.0000, 0.5000, 0.0000)  6 Se 2.99-3.00
Th (0.5000, 0.0000, 0.5000)  6 Se 2.96-2.97
Pr (0.0000, 0.0000, 0.0000)  6 Se 2.99
Se (0.7492, 0.4984, 0.7476)  3 Th 2.97, 3 Pr 2.99
Th (0.0000, 0.5000, 0.5000)  6 Se 2.96-2.97
Se (0.2497, 0.0032, 0.2561)  1 Ho 2.94, 2 Th 2.96, 2 Pr 2.99-3.00
Se (0.7530, 0.5060, 0.2565)  1 Ho 2.94, 2 Th 2.96, 2 Pr 3.00

Results
- Total magnetization: 0.00 μB/f.u.
- Density: 7.538 Mg/m³

4.
This record from Alexandria via LeMat-Bulk describes a relaxed PrHo2Th3Se6 crystal. The functional is PBE.

a = 7.0416 Å, b = 7.0416 Å, c = 7.4847 Å
α = 98.99°, β = 98.99°, γ = 119.63°
Last column: nearest neighbours and their distance in Å.
Sites, in units of the cell vectors:
Se (0.4258, 0.0807, 0.2412)  2 Ho 2.87-2.88, 1 Pr 2.98, 3 Th 2.98-3.03
Se (0.0807, 0.4258, 0.2412)  2 Ho 2.87-2.88, 1 Pr 2.98, 3 Th 2.98-3.03
Th (0.5000, 0.5000, 0.5000)  6 Se 2.96-3.02
Pr (0.0000, 0.0000, 0.0000)  6 Se 2.95-2.98
Se (0.9193, 0.5742, 0.7588)  2 Ho 2.87-2.88, 1 Pr 2.98, 3 Th 2.98-3.03
Se (0.5742, 0.9193, 0.7588)  2 Ho 2.87-2.88, 1 Pr 2.98, 3 Th 2.98-3.03
Se (0.2689, 0.2689, 0.7685)  2 Ho 2.85, 1 Pr 2.95, 3 Th 2.96-3.01
Ho (0.6684, 0.3316, 0.0000)  6 Se 2.85-2.88
Th (0.8409, 0.1591, 0.5000)  6 Se 2.98-3.03
Se (0.7311, 0.7311, 0.2315)  2 Ho 2.85, 1 Pr 2.95, 3 Th 2.96-3.01
Ho (0.3316, 0.6684, 0.0000)  6 Se 2.85-2.88
Th (0.1591, 0.8409, 0.5000)  6 Se 2.98-3.03

Results
- Total magnetization: 0.00 μB/f.u.
- Density: 8.885 Mg/m³

Computed E_form (uncorrected) (eV/atom) in order:
-1.750 -1.756 -1.741 -1.637